# 1
K2Li2Pt: relaxed, PBE.

Structure (extended XYZ):
```
5
Lattice="-1.6113 1.9150 10.7520 1.6113 -1.9150 10.7520 1.6113 1.9150 -10.7520" Properties=species:S:1:pos:R:3 pbc="T T T"
K 0.0000 0.0000 3.4926
K 0.0000 0.0000 18.0113
Li 0.0000 0.0000 9.6467
Li 0.0000 0.0000 11.8573
Pt 0.0000 0.0000 0.0000
```

Summary:
ρ = 3.59 Mg/m³
E_tot = -2.428 eV per atom
spin magnetization = 0.0 μB per formula unit

***

# 2
K2Li2Pt: relaxed, PBE.

Structure (extended XYZ):
```
10
Lattice="4.3682 0.0000 0.0000 -2.1841 3.7830 0.0000 0.0000 0.0000 18.9344" Properties=species:S:1:pos:R:3 pbc="T T T"
K 0.0000 2.5220 2.7421
K 0.0000 2.5220 6.7251
K 2.1841 1.2610 12.2093
K 2.1841 1.2610 16.1923
Li 0.0000 2.5220 9.9628
Li 0.0000 2.5220 18.4388
Li 2.1841 1.2610 0.4956
Li 2.1841 1.2610 8.9716
Pt 0.0000 0.0000 0.0000
Pt 0.0000 0.0000 9.4672
```

Summary:
ρ = 3.05 Mg/m³
E_tot = -2.570 eV per atom
spin magnetization = 0.0 μB per formula unit